Below is crystalline Tm2SiO4 at its relaxed geometry, with properties calculated at the PBE-GGA level. Values from VASP.

Volume ... 339.2 Å³/cell
Mass density ... 8.42 Mg/m³
Relative energy among the computed polymorphs ... 0 meV/atom
Symmetry ... Pnma, No. 62

Geometry as Quantum ESPRESSO input:
```
&SYSTEM
  ibrav = 0, nat = 28, ntyp = 3
/
ATOMIC_SPECIES
O 16.00 O.upf
Si 28.09 Si.upf
Tm 168.93 Tm.upf
CELL_PARAMETERS angstrom
6.4384 0.0000 0.0000
0.0000 5.4436 0.0000
0.0000 0.0000 9.6771
ATOMIC_POSITIONS crystal
O 0.4589 0.2500 0.0523
O 0.1580 0.7500 0.1196
O 0.8105 0.0027 0.1297
O 0.8105 0.4973 0.1297
O 0.3105 0.0027 0.3703
O 0.3105 0.4973 0.3703
O 0.6580 0.7500 0.3804
O 0.9589 0.2500 0.4477
O 0.0411 0.7500 0.5523
O 0.3420 0.2500 0.6196
O 0.6895 0.5027 0.6297
O 0.6895 0.9973 0.6297
O 0.1895 0.5027 0.8703
O 0.1895 0.9973 0.8703
O 0.8420 0.2500 0.8804
O 0.5411 0.7500 0.9477
Si 0.6590 0.2500 0.1648
Si 0.1590 0.2500 0.3352
Si 0.8410 0.7500 0.6648
Si 0.3410 0.7500 0.8352
Tm 0.1081 0.2500 0.0454
Tm 0.4717 0.7500 0.1886
Tm 0.9717 0.7500 0.3114
Tm 0.6081 0.2500 0.4546
Tm 0.3919 0.7500 0.5454
Tm 0.0283 0.2500 0.6886
Tm 0.5283 0.2500 0.8114
Tm 0.8919 0.7500 0.9546
```

Below is crystalline Tm2SiO5 at its relaxed geometry, with properties calculated at the PBE-GGA level. Values from VASP.

Volume ... 383.3 Å³/cell
Mass density ... 7.73 Mg/m³
Relative energy among the computed polymorphs ... 28 meV/atom
Symmetry ... P2_1/c, No. 14

Geometry as Quantum ESPRESSO input:
```
&SYSTEM
  ibrav = 0, nat = 32, ntyp = 3
/
ATOMIC_SPECIES
O 16.00 O.upf
Si 28.09 Si.upf
Tm 168.93 Tm.upf
CELL_PARAMETERS angstrom
8.9497 0.0000 0.0361
0.0000 6.7313 0.0000
-1.7280 0.0000 6.3564
ATOMIC_POSITIONS crystal
O 0.3881 0.8623 0.0087
O 0.8939 0.2920 0.0124
O 0.3866 0.3825 0.0654
O 0.2102 0.0700 0.1712
O 0.8751 0.9445 0.2181
O 0.1249 0.4445 0.2819
O 0.7898 0.5700 0.3288
O 0.6134 0.8825 0.4346
O 0.1061 0.7920 0.4876
O 0.6119 0.3623 0.4913
O 0.3881 0.6377 0.5087
O 0.8939 0.2080 0.5124
O 0.3866 0.1175 0.5654
O 0.2102 0.4300 0.6712
O 0.8751 0.5555 0.7181
O 0.1249 0.0555 0.7819
O 0.7898 0.9300 0.8288
O 0.6134 0.6175 0.9346
O 0.1061 0.7080 0.9876
O 0.6119 0.1377 0.9913
Si 0.7989 0.0921 0.0223
Si 0.2011 0.5921 0.4777
Si 0.7989 0.4079 0.5223
Si 0.2011 0.9079 0.9777
Tm 0.8699 0.6387 0.0470
Tm 0.5293 0.6249 0.2314
Tm 0.4707 0.1249 0.2686
Tm 0.1301 0.1387 0.4530
Tm 0.8699 0.8613 0.5470
Tm 0.5293 0.8751 0.7314
Tm 0.4707 0.3751 0.7686
Tm 0.1301 0.3613 0.9530
```

Below is crystalline Tm2SiO5 at its relaxed geometry, with properties calculated at the PBE-GGA level. Values from VASP.

Volume ... 409.2 Å³/cell
Mass density ... 7.24 Mg/m³
Relative energy among the computed polymorphs ... 0 meV/atom
Symmetry ... C2/c, No. 15

Geometry as Quantum ESPRESSO input:
```
&SYSTEM
  ibrav = 0, nat = 32, ntyp = 3
/
ATOMIC_SPECIES
O 16.00 O.upf
Si 28.09 Si.upf
Tm 168.93 Tm.upf
CELL_PARAMETERS angstrom
0.0000 6.6342 0.0000
-7.1337 -3.3171 -0.0250
1.6770 -3.3171 8.6515
ATOMIC_POSITIONS crystal
O 0.1893 0.4592 0.0587
O 0.7167 0.1381 0.1015
O 0.0516 0.9624 0.1387
O 0.6209 0.7719 0.1746
O 0.5885 0.4158 0.1792
O 0.4935 0.0842 0.3208
O 0.1744 0.7281 0.3254
O 0.4505 0.5376 0.3613
O 0.9771 0.3619 0.3985
O 0.1714 0.0408 0.4413
O 0.8286 0.9592 0.5587
O 0.0229 0.6381 0.6015
O 0.5495 0.4624 0.6387
O 0.8256 0.2719 0.6746
O 0.5065 0.9158 0.6792
O 0.4115 0.5842 0.8208
O 0.3791 0.2281 0.8254
O 0.9484 0.0376 0.8613
O 0.2833 0.8619 0.8985
O 0.8107 0.5408 0.9413
Si 0.4648 0.5559 0.1919
Si 0.2169 0.9441 0.3081
Si 0.7831 0.0559 0.6919
Si 0.5352 0.4441 0.8081
Tm 0.3271 0.1078 0.0353
Tm 0.9302 0.4459 0.1647
Tm 0.8196 0.0541 0.3353
Tm 0.6839 0.3922 0.4647
Tm 0.3161 0.6078 0.5353
Tm 0.1804 0.9459 0.6647
Tm 0.0698 0.5541 0.8353
Tm 0.6729 0.8922 0.9647
```

Below is crystalline Tm4SiO3 at its relaxed geometry, with properties calculated at the PBE-GGA level. Values from VASP.

Volume ... 126.4 Å³/cell
Mass density ... 9.88 Mg/m³
Energy ... -6.9028 eV per atom
Symmetry ... I4/mmm, No. 139

Geometry as Quantum ESPRESSO input:
```
&SYSTEM
  ibrav = 0, nat = 8, ntyp = 3
/
ATOMIC_SPECIES
O 16.00 O.upf
Si 28.09 Si.upf
Tm 168.93 Tm.upf
CELL_PARAMETERS angstrom
-2.5337 2.5337 4.9221
2.5337 -2.5337 4.9221
2.5337 2.5337 -4.9221
ATOMIC_POSITIONS crystal
O 0.5000 0.5000 0.0000
O 0.7500 0.2500 0.5000
O 0.2500 0.7500 0.5000
Si 0.0000 0.0000 0.0000
Tm 0.2662 0.2662 0.0000
Tm 0.7338 0.7338 0.0000
Tm 0.5000 0.0000 0.5000
Tm 0.0000 0.5000 0.5000
```

Below is crystalline Tm2SiO4 at its relaxed geometry, with properties calculated at the PBE-GGA level. Values from VASP.

Volume ... 202.0 Å³/cell
Mass density ... 7.07 Mg/m³
Relative energy among the computed polymorphs ... 289 meV/atom
Symmetry ... Fd-3m, No. 227

Geometry as Quantum ESPRESSO input:
```
&SYSTEM
  ibrav = 0, nat = 14, ntyp = 3
/
ATOMIC_SPECIES
O 16.00 O.upf
Si 28.09 Si.upf
Tm 168.93 Tm.upf
CELL_PARAMETERS angstrom
4.6570 -4.6576 0.0000
-4.6570 0.0000 -4.6576
4.6570 4.6576 0.0000
ATOMIC_POSITIONS crystal
O 0.6152 0.2305 0.3847
O 0.1542 0.7695 0.3847
O 0.6153 0.7695 0.3848
O 0.1347 0.2695 0.4042
O 0.6153 0.2305 0.8458
O 0.1347 0.7305 0.8652
O 0.1348 0.2695 0.8653
O 0.5958 0.7305 0.8653
Si 0.0000 0.0000 0.0000
Si 0.7500 0.5000 0.2500
Tm 0.3750 0.7500 0.1250
Tm 0.8750 0.2500 0.6250
Tm 0.3750 0.2500 0.6250
Tm 0.3750 0.7500 0.6250
```

Below is crystalline Zn2SiO4 at its relaxed geometry, with properties calculated at the PBE-GGA level. Values from VASP.

Volume ... 646.4 Å³/cell
Mass density ... 4.58 Mg/m³
Energy ... -5.9557 eV per atom
Symmetry ... Pbca, No. 61

Geometry as Quantum ESPRESSO input:
```
&SYSTEM
  ibrav = 0, nat = 56, ntyp = 3
/
ATOMIC_SPECIES
O 16.00 O.upf
Si 28.09 Si.upf
Zn 65.41 Zn.upf
CELL_PARAMETERS angstrom
-0.0095 -5.1452 -3.3130
2.2602 -5.7832 8.9750
-9.4681 -1.0727 1.6932
ATOMIC_POSITIONS crystal
O 0.9243 0.1381 0.0182
O 0.5757 0.6381 0.0182
O 0.3508 0.0998 0.0198
O 0.1492 0.5998 0.0198
O 0.1733 0.2481 0.2163
O 0.3267 0.7481 0.2163
O 0.0954 0.0132 0.2297
O 0.4046 0.5132 0.2297
O 0.5954 0.0132 0.2703
O 0.9046 0.5132 0.2703
O 0.6733 0.2481 0.2837
O 0.8267 0.7481 0.2837
O 0.8507 0.0998 0.4802
O 0.6492 0.5998 0.4802
O 0.4243 0.1381 0.4818
O 0.0757 0.6381 0.4818
O 0.9243 0.3619 0.5182
O 0.5757 0.8619 0.5182
O 0.3508 0.4002 0.5198
O 0.1492 0.9002 0.5198
O 0.1733 0.2519 0.7163
O 0.3267 0.7519 0.7163
O 0.0954 0.4868 0.7297
O 0.4046 0.9868 0.7297
O 0.5954 0.4868 0.7703
O 0.9046 0.9868 0.7703
O 0.6733 0.2519 0.7837
O 0.8267 0.7519 0.7837
O 0.8507 0.4002 0.9802
O 0.6492 0.9002 0.9802
O 0.4243 0.3619 0.9818
O 0.0757 0.8619 0.9818
Si 0.1385 0.1248 0.1188
Si 0.3615 0.6248 0.1188
Si 0.6385 0.1248 0.3812
Si 0.8615 0.6248 0.3812
Si 0.1385 0.3752 0.6188
Si 0.3615 0.8752 0.6188
Si 0.6385 0.3752 0.8812
Si 0.8615 0.8752 0.8812
Zn 0.6537 0.0659 0.0808
Zn 0.8463 0.5659 0.0808
Zn 0.4483 0.3406 0.1858
Zn 0.0517 0.8406 0.1858
Zn 0.9483 0.3406 0.3142
Zn 0.5517 0.8406 0.3142
Zn 0.1537 0.0659 0.4192
Zn 0.3463 0.5659 0.4192
Zn 0.6537 0.4341 0.5808
Zn 0.8463 0.9341 0.5808
Zn 0.4483 0.1594 0.6858
Zn 0.0517 0.6594 0.6858
Zn 0.9483 0.1594 0.8142
Zn 0.5517 0.6594 0.8142
Zn 0.1537 0.4341 0.9192
Zn 0.3463 0.9341 0.9192
```